Computed, not measured: a relaxed Li4Pt3O8 crystal at the PBE level of DFT.

Cell: 6.114 6.114 6.223 Å, 60.57 60.57 60.00°
Fractional positions:
Li 0.359 0.359 0.923
Li 0.500 0.500 0.500
Li 0.000 0.000 0.000
Li 0.641 0.641 0.077
O 0.228 0.745 0.282
O 0.745 0.228 0.282
O 0.768 0.768 0.696
O 0.772 0.255 0.718
O 0.255 0.772 0.718
O 0.255 0.255 0.718
O 0.232 0.232 0.304
O 0.745 0.745 0.282
Pt 0.000 0.500 0.500
Pt 0.000 0.000 0.500
Pt 0.500 0.000 0.500

Output
Energy ... -82.49 eV per formula unit
SG ... No. 166
ΔE_f (raw) ... -1136 meV/atom